Below is crystalline Na3Mn3NbO8 at its relaxed geometry, with properties calculated at the PBE with a Hubbard U level.

Lattice parameters (Å, degrees): 6.115 6.136 6.564 62.32 62.65 61.30
Positions (direct):
Na1 0.000 0.000 0.000
Na2 0.000 0.500 0.000
Na3 0.500 0.000 0.000
Mn1 0.000 0.500 0.500
Mn2 0.500 0.000 0.500
Mn3 0.500 0.500 0.500
Nb1 0.000 0.000 0.500
O1 0.208 0.747 0.306
O2 0.229 0.226 0.296
O3 0.255 0.793 0.696
O4 0.259 0.262 0.685
O5 0.741 0.738 0.315
O6 0.745 0.207 0.304
O7 0.771 0.774 0.704
O8 0.792 0.253 0.694

The uncorrected energy is -6.754 eV/atom. The volume comes out at 12.15 Å³ per atom. The space-group type is No. 2. The total magnetization comes out at 0.600 μB/atom. The crystal system is triclinic.